# 1
A geometry-optimized Ce8CdOs6 structure. Source: Alexandria, functional PBE.

```
data_Ce8CdOs6
_space_group_name_H-M_alt 'P 1'
_space_group_IT_number 1
_cell_length_a 4.095
_cell_length_b 10.134
_cell_length_c 10.134
_cell_angle_alpha 120.00
_cell_angle_beta 90.00
_cell_angle_gamma 90.00
loop_
_space_group_symop_operation_xyz
'x,y,z'
loop_
_atom_site_label
_atom_site_type_symbol
_atom_site_fract_x
_atom_site_fract_y
_atom_site_fract_z
Os1 Os 0.747 0.528 0.618
Ce1 Ce 0.240 0.725 0.671
Os2 Os 0.747 0.090 0.472
Ce2 Ce 0.760 0.671 0.947
Ce3 Ce 0.760 0.053 0.725
Ce4 Ce 0.760 0.275 0.329
Ce5 Ce 0.254 0.333 0.667
Ce6 Ce 0.746 0.667 0.333
Os3 Os 0.253 0.618 0.090
Os4 Os 0.253 0.472 0.382
Ce7 Ce 0.240 0.329 0.053
Ce8 Ce 0.240 0.947 0.275
Os5 Os 0.747 0.382 0.910
Os6 Os 0.253 0.910 0.528
Cd1 Cd 0.500 0.000 0.000
```

The formation energy is -77 meV/atom. Its final energy is -7.7947 eV/atom. As for the volume: 24.3 A^3/atom.

# 2
A geometry-optimized TbCeCdOs structure. Source: Alexandria, functional PBE.

```
data_TbCeCdOs
_space_group_name_H-M_alt 'P 1'
_space_group_IT_number 1
_cell_length_a 3.350
_cell_length_b 3.350
_cell_length_c 8.474
_cell_angle_alpha 90.00
_cell_angle_beta 90.00
_cell_angle_gamma 90.00
loop_
_space_group_symop_operation_xyz
'x,y,z'
loop_
_atom_site_label
_atom_site_type_symbol
_atom_site_fract_x
_atom_site_fract_y
_atom_site_fract_z
Os1 Os 0.000 0.000 0.572
Tb1 Tb 0.500 0.500 0.780
Cd1 Cd 0.000 0.000 0.066
Ce1 Ce 0.500 0.500 0.367
```

As for the energy relative to the lowest polymorph listed for this composition: 0.00 eV per formula unit. The formation energy is -255 meV/atom. Its final energy is -5.9325 eV/atom. As for the volume: 23.8 A^3/atom.